Crystalline TlHSe at its relaxed geometry, computed with PBE.

The structure in extended XYZ format:
```
6
Lattice="6.4462 -1.8113 0.0000 6.4462 1.8113 0.0000 -4.0338 0.0000 6.3485" Properties=species:S:1:pos:R:3 pbc="T T T"
Tl 0.0000 0.0000 0.0000
Tl 6.4523 0.0000 3.2330
H 3.2788 0.0000 2.8738
H 9.6689 0.0000 1.4362
Se 0.1290 0.0000 5.6073
Se 9.7611 0.0000 2.9298
```

Values from the calculation:
DOS at the Fermi energy   0.044 states/eV per atom
Crystal system   monoclinic
Energy relative to the lowest polymorph listed for this composition   130 meV per atom